Material: ZnCr2Fe
Method: DFT, PBE-GGA
State: relaxed

Results
Space-group type: Cmmm, No. 65
Formation enthalpy at 0 K (eV per atom): 0.181

Cell lengths 2.5419, 2.5419, 7.3293 Å; angles 90.00, 90.00, 90.12 degrees
With the nearest neighbours (Å) after each atom.
Atoms (fractional coordinates):
Zn 0.0000 0.0000 0.0000  4 Zn 2.54, 8 Cr 2.69
Cr 0.5000 0.5000 0.2732  4 Fe 2.45, 4 Cr 2.54, 4 Zn 2.69
Cr 0.5000 0.5000 0.7268  4 Fe 2.45, 4 Cr 2.54, 4 Zn 2.69
Fe 0.0000 0.0000 0.5000  8 Cr 2.45, 4 Fe 2.54

Material: Tb4NdN4
Method: DFT, PBE-GGA
State: relaxed

Results
Space-group type: I4/m, No. 87
Raw formation energy (meV per atom): -1418

Cell lengths 6.1516, 6.1516, 6.1516 Å; angles 99.32, 99.32, 132.53 degrees
With the nearest neighbours (Å) after each atom.
Atoms (fractional coordinates):
Tb 0.1099 0.6848 0.7947  5 N 2.37-2.52
Tb 0.3152 0.1099 0.4252  5 N 2.37-2.52
Tb 0.6848 0.8901 0.5748  5 N 2.37-2.52
Tb 0.8901 0.3152 0.2053  5 N 2.37-2.52
Nd 0.5000 0.5000 0.0000  4 N 2.55
N 0.1953 0.3998 0.5951  5 Tb 2.37-2.52, 1 Nd 2.55
N 0.3998 0.8047 0.2045  5 Tb 2.37-2.52, 1 Nd 2.55
N 0.6002 0.1953 0.7955  5 Tb 2.37-2.52, 1 Nd 2.55
N 0.8047 0.6002 0.4049  5 Tb 2.37-2.52, 1 Nd 2.55

Number 1: final energy -7.065 eV/atom. Number 2: final energy -7.706 eV/atom.